Material: CaCeTh2
Method: DFT, GGA-PBE
State: optimized geometry

Lattice parameters (Å, degrees): 3.4995 3.4995 12.8108 82.15 82.15 60.00
Atoms (fractional coordinates):
Ce1 0.5000 0.5000 0.5000
Th1 0.9088 0.9088 0.2735
Th2 0.0912 0.0912 0.7265
Ca1 0.0000 0.0000 0.0000

Results
The space group is R-3m, No. 166. For the energy above the most stable polymorph in this dataset, the calculation gives 0.0 meV per atom. Its crystal system is trigonal. The calculation puts the energy of formation at 0.25 eV/atom.